DFT (PBE) results for crystalline Pm5NdBi4 at its relaxed geometry.

The value obtained for the formation energy is -413 meV per atom. The value obtained for the raw total energy is -96.3 eV per cell. The value obtained for the density of states at the Fermi level is 1.265 states/eV/atom.

It has space group Pmmn (No. 59, origin choice 2), with a = 9.7361 Å, b = 10.3671 Å, c = 7.7459 Å, α = 90.00°, β = 90.00° and γ = 90.00°. The inequivalent atoms are Pm at (0.0400, 0.0507, 0.2485), Pm at (0.2500, 0.7500, 0.2405), Nd at (0.2500, 0.2500, 0.8600), Bi at (0.0286, 0.2500, 0.5609) and Bi at (0.2500, 0.5466, 0.9425).

DFT (PBE) results for crystalline Pm4NdBi2 at its relaxed geometry.

The value obtained for the formation energy is 189 meV per atom. The value obtained for the raw total energy is -60.4 eV per cell. The value obtained for the density of states at the Fermi level is 1.205 states/eV/atom.

It has space group I4/mmm (No. 139), with a = 5.4449 Å, b = 5.4449 Å, c = 17.1788 Å, α = 90.00°, β = 90.00° and γ = 90.00°. The inequivalent atoms are Pm at (0.0000, 0.0000, 0.1815), Pm at (0.0000, 0.5000, 0.0000), Nd at (0.0000, 0.0000, 0.0000) and Bi at (0.0000, 0.0000, 0.3655).

DFT (PBE) results for crystalline Pm8Nd5Bi at its relaxed geometry.

The value obtained for the formation energy is 36 meV per atom. The value obtained for the raw total energy is -130.4 eV per cell. The value obtained for the density of states at the Fermi level is 1.463 states/eV/atom.

It has space group C2 (No. 5), with a = 13.1260 Å, b = 11.1881 Å, c = 9.3349 Å, α = 90.00°, β = 134.63° and γ = 90.00°. The inequivalent atoms are Pm at (0.0664, 0.0000, 0.3339), Pm at (0.0661, 0.5691, 0.3356), Pm at (0.1564, 0.2862, 0.7436), Pm at (0.2189, 0.4726, 0.1403), Nd at (0.0000, 0.7824, 0.0000), Nd at (0.1508, 0.2850, 0.3443), Nd at (0.2189, 0.0988, 0.1384) and Bi at (0.0000, 0.7858, 0.5000).

DFT (PBE) results for crystalline Pm2Nd3Bi2 at its relaxed geometry.

The value obtained for the formation energy is -309 meV per atom. The value obtained for the raw total energy is -67.5 eV per cell. The value obtained for the density of states at the Fermi level is 1.055 states/eV/atom.

It has space group C2/m (No. 12), with a = 17.2800 Å, b = 4.0981 Å, c = 7.5955 Å, α = 90.00°, β = 115.96° and γ = 90.00°. The inequivalent atoms are Pm at (0.1130, 0.0000, 0.2297), Nd at (0.0000, 0.0000, 0.5000), Nd at (0.2129, 0.0000, 0.7731) and Bi at (0.0785, 0.5000, 0.8709).

DFT (PBE) results for crystalline Pm2NdBi2 at its relaxed geometry.

The value obtained for the formation energy is -490 meV per atom. The value obtained for the raw total energy is -49.0 eV per cell. The value obtained for the density of states at the Fermi level is 0.792 states/eV/atom.

It has space group C2/m (No. 12), with a = 7.5121 Å, b = 6.2273 Å, c = 7.6861 Å, α = 90.00°, β = 106.44° and γ = 90.00°. The inequivalent atoms are Pm at (0.0000, 0.2483, 0.0000), Nd at (0.0000, 0.5000, 0.5000) and Bi at (0.1668, 0.0000, 0.7041).

DFT (PBE) results for crystalline Pm4Nd3Bi4 at its relaxed geometry.

The value obtained for the formation energy is -557 meV per atom. The value obtained for the raw total energy is -109.9 eV per cell. The value obtained for the density of states at the Fermi level is 1.169 states/eV/atom.

It has space group Amm2 (No. 38), with a = 11.8858 Å, b = 4.4551 Å, c = 14.1079 Å, α = 90.00°, β = 90.00° and γ = 90.00°. The inequivalent atoms are Pm at (0.0000, 0.0000, 0.0000), Pm at (0.2422, 0.0000, 0.4648), Pm at (0.5000, 0.0000, 0.0668), Nd at (0.0000, 0.0000, 0.6958), Nd at (0.3543, 0.0000, 0.7689), Bi at (0.0000, 0.0000, 0.3505), Bi at (0.2206, 0.0000, 0.1374) and Bi at (0.5000, 0.0000, 0.3936).

DFT (PBE) results for crystalline PmNd3Bi2 at its relaxed geometry.

The value obtained for the formation energy is -655 meV per atom. The value obtained for the raw total energy is -30.7 eV per cell. The value obtained for the density of states at the Fermi level is 0.963 states/eV/atom. For the energy above the most stable polymorph in this dataset, the calculation gives 0 kJ/mol of formula units.

It has space group P-4m2 (No. 115), with a = 4.6637 Å, b = 4.6637 Å, c = 9.0172 Å, α = 90.00°, β = 90.00° and γ = 90.00°. The inequivalent atoms are Pm at (0.0000, 0.0000, 0.0000), Nd at (0.0000, 0.5000, 0.3534), Nd at (0.5000, 0.5000, 0.0000) and Bi at (0.0000, 0.5000, 0.7197).

DFT (PBE) results for crystalline Pm3NdBi3 at its relaxed geometry.

The value obtained for the formation energy is -728 meV per atom. The value obtained for the raw total energy is -214.6 eV per cell. The value obtained for the density of states at the Fermi level is 0.624 states/eV/atom. For the energy above the most stable polymorph in this dataset, the calculation gives 66 kJ/mol of formula units.

It has space group R-3 (No. 148, hexagonal axes), with a = 9.4208 Å, b = 9.4208 Å, c = 19.2306 Å, α = 90.00°, β = 90.00° and γ = 120.00°. The inequivalent atoms are Pm at (0.0031, 0.7381, 0.0847), Nd at (0.0000, 0.0000, 0.3334) and Bi at (0.0032, 0.6170, 0.9180).

DFT (PBE) results for crystalline PmNd3Bi2 at its relaxed geometry.

The value obtained for the formation energy is -431 meV per atom. The value obtained for the raw total energy is -117.6 eV per cell. The value obtained for the density of states at the Fermi level is 1.257 states/eV/atom. For the energy above the most stable polymorph in this dataset, the calculation gives 130 kJ/mol of formula units.

It has space group Ibam (No. 72), with a = 7.2660 Å, b = 15.1259 Å, c = 7.9941 Å, α = 90.00°, β = 90.00° and γ = 90.00°. The inequivalent atoms are Pm at (0.0000, 0.0000, 0.0000), Nd at (0.0000, 0.2014, 0.2500), Nd at (0.0000, 0.5000, 0.2500) and Bi at (0.1638, 0.3516, 0.0000).

DFT (PBE) results for crystalline PmNd2Bi at its relaxed geometry.

The value obtained for the formation energy is -373 meV per atom. The value obtained for the raw total energy is -19.7 eV per cell. The value obtained for the density of states at the Fermi level is 1.625 states/eV/atom. For the energy above the most stable polymorph in this dataset, the calculation gives 28 kJ/mol of formula units.

It has space group P4/mmm (No. 123), with a = 4.2379 Å, b = 4.2379 Å, c = 7.2837 Å, α = 90.00°, β = 90.00° and γ = 90.00°. The inequivalent atoms are Pm at (0.0000, 0.0000, 0.0000), Nd at (0.5000, 0.5000, 0.2747) and Bi at (0.0000, 0.0000, 0.5000).

DFT (PBE) results for crystalline PmNd2Bi at its relaxed geometry.

The value obtained for the formation energy is -236 meV per atom. The value obtained for the raw total energy is -76.5 eV per cell. The value obtained for the density of states at the Fermi level is 1.014 states/eV/atom. For the energy above the most stable polymorph in this dataset, the calculation gives 80 kJ/mol of formula units.

It has space group Fm-3m (No. 225), with a = 7.9715 Å, b = 7.9715 Å, c = 7.9715 Å, α = 90.00°, β = 90.00° and γ = 90.00°. The inequivalent atoms are Pm at (0.0000, 0.0000, 0.0000), Nd at (0.2500, 0.2500, 0.2500) and Bi at (0.0000, 0.0000, 0.5000).

DFT (PBE) results for crystalline PmNd2Bi at its relaxed geometry.

The value obtained for the formation energy is -445 meV per atom. The value obtained for the raw total energy is -79.8 eV per cell. The value obtained for the density of states at the Fermi level is 1.119 states/eV/atom. For the energy above the most stable polymorph in this dataset, the calculation gives 0 kJ/mol of formula units.

It has space group Cmcm (No. 63), with a = 4.7169 Å, b = 23.8991 Å, c = 4.7019 Å, α = 90.00°, β = 90.00° and γ = 90.00°. The inequivalent atoms are Pm at (0.0000, 0.1942, 0.2500), Nd at (0.0000, 0.0655, 0.7500), Nd at (0.0000, 0.4404, 0.7500) and Bi at (0.0000, 0.3300, 0.2500).